No. 1
{"formula": "BaNb3Te", "functional": "PBE", "state": "relaxed", "vol_a3_per_cell": 143, "raw_formation_energy_ev_per_fu": 5.7, "de_polymorph_mev_per_atom": 0, "m_tot_mub_per_atom": 0.320, "lattice": [[-0.529, 1.576, -4.952], [-5.057, -1.304, 0.125], [-1.199, 4.807, 1.658]], "species": ["Nb", "Nb", "Nb", "Te", "Ba"], "fractional_positions": [[0.000, 0.500, 0.000], [0.000, 0.000, 0.500], [0.500, 0.000, 0.000], [0.000, 0.000, 0.000], [0.500, 0.500, 0.500]]}

---

No. 2
{"formula": "BaNbTe3", "functional": "PBE", "state": "relaxed", "vol_a3_per_cell": 254, "raw_formation_energy_ev_per_fu": 5.3, "de_polymorph_mev_per_atom": 1753, "m_tot_mub_per_atom": 0.211, "lattice": [[6.336, 0.000, 0.000], [0.000, 6.336, 0.000], [0.000, 0.000, 6.336]], "species": ["Nb", "Te", "Te", "Te", "Ba"], "fractional_positions": [[0.500, 0.500, 0.500], [0.000, 0.500, 0.000], [0.000, 0.000, 0.500], [0.500, 0.000, 0.000], [0.000, 0.000, 0.000]]}

---

No. 3
{"formula": "BaNb3Te", "functional": "PBE", "state": "relaxed", "vol_a3_per_cell": 135, "raw_formation_energy_ev_per_fu": 11.9, "de_polymorph_mev_per_atom": 1244, "m_tot_mub_per_atom": 0.000, "lattice": [[5.132, 0.000, 0.000], [0.000, 5.132, 0.000], [0.000, 0.000, 5.132]], "species": ["Nb", "Nb", "Nb", "Te", "Ba"], "fractional_positions": [[0.000, 0.500, 0.000], [0.000, 0.000, 0.500], [0.500, 0.000, 0.000], [0.500, 0.500, 0.500], [0.000, 0.000, 0.000]]}

---

- Which formula does entry 3 have?
  BaNb3Te

---

- Number 2 is which compound?
  BaNbTe3